Entry 1:
# Y12Tm7In (PBE, optimized geometry)
# DOS at the Fermi energy ... 38.1 states/eV/f.u.
# Energy ... -5.544 eV/atom
data_Y12Tm7In
_chemical_formula_sum 'Y36 Tm21 In3'
_cell_length_a 13.5176
_cell_length_b 13.5176
_cell_length_c 11.8246
_cell_angle_alpha 90.00
_cell_angle_beta 90.00
_cell_angle_gamma 120.00
_space_group_name_H-M_alt 'R -3 m'
_space_group_IT_number 166
_space_group_name_Hall '-R 3 2"'
loop_
_atom_site_label
_atom_site_type_symbol
_atom_site_fract_x
_atom_site_fract_y
_atom_site_fract_z
Y1 Y 0.0000 0.2600 0.0000
Y2 Y 0.0864 0.1728 0.7526
Tm1 Tm 0.0000 0.0000 0.0000
Tm2 Tm 0.0562 0.5281 0.1237
In1 In 0.0000 0.0000 0.5000

***

Entry 2:
# SiSbRu2 (PBE, optimized geometry)
# Formation energy (no corrections) ... -93.1 meV per atom
# DOS at the Fermi energy ... 3.5 states/eV/f.u.
data_SiSbRu2
_chemical_formula_sum 'Si4 Sb4 Ru8'
_cell_length_a 6.2403
_cell_length_b 6.2403
_cell_length_c 6.2403
_cell_angle_alpha 90.00
_cell_angle_beta 90.00
_cell_angle_gamma 90.00
_space_group_name_H-M_alt 'F m -3 m'
_space_group_IT_number 225
_space_group_name_Hall '-F 4 2 3'
loop_
_atom_site_label
_atom_site_type_symbol
_atom_site_fract_x
_atom_site_fract_y
_atom_site_fract_z
Si1 Si 0.0000 0.0000 0.0000
Sb1 Sb 0.0000 0.0000 0.5000
Ru1 Ru 0.2500 0.2500 0.2500

***

Entry 3:
# Sr2RhCl (PBE, optimized geometry)
# Formation energy (no corrections) ... -145.6 meV per atom
# DOS at the Fermi energy ... 1.0 states/eV/f.u.
data_Sr2RhCl
_chemical_formula_sum 'Sr8 Rh4 Cl4'
_cell_length_a 7.4365
_cell_length_b 7.4365
_cell_length_c 7.4365
_cell_angle_alpha 90.00
_cell_angle_beta 90.00
_cell_angle_gamma 90.00
_space_group_name_H-M_alt 'F -4 3 m'
_space_group_IT_number 216
_space_group_name_Hall 'F -4 2 3'
loop_
_atom_site_label
_atom_site_type_symbol
_atom_site_fract_x
_atom_site_fract_y
_atom_site_fract_z
Sr1 Sr 0.0000 0.0000 0.0000
Sr2 Sr 0.2500 0.2500 0.2500
Rh1 Rh 0.0000 0.0000 0.5000
Cl1 Cl 0.2500 0.2500 0.7500

***

Entry 4:
# Pr7TlSi5 (PBE, optimized geometry)
# Formation energy (no corrections) ... -385.9 meV per atom
# DOS at the Fermi energy ... 10.8 states/eV/f.u.
data_Pr7TlSi5
_chemical_formula_sum 'Pr14 Tl2 Si10'
_cell_length_a 6.2477
_cell_length_b 11.2261
_cell_length_c 10.2187
_cell_angle_alpha 90.00
_cell_angle_beta 90.00
_cell_angle_gamma 90.00
_space_group_name_H-M_alt 'I m m 2'
_space_group_IT_number 44
loop_
_space_group_symop_operation_xyz
'x,y,z'
'-x,-y,z'
'-x,y,z'
'x,-y,z'
'x+1/2,y+1/2,z+1/2'
'-x+1/2,-y+1/2,z+1/2'
'-x+1/2,y+1/2,z+1/2'
'x+1/2,-y+1/2,z+1/2'
loop_
_atom_site_label
_atom_site_type_symbol
_atom_site_fract_x
_atom_site_fract_y
_atom_site_fract_z
Pr1 Pr 0.0000 0.0000 0.0000
Pr2 Pr 0.0000 0.0000 0.3788
Pr3 Pr 0.0000 0.3125 0.6827
Pr4 Pr 0.0000 0.3313 0.1075
Pr5 Pr 0.0000 0.5000 0.3607
Tl1 Tl 0.0000 0.0000 0.6867
Si1 Si 0.0000 0.5000 0.8826
Si2 Si 0.1945 0.2609 0.4061

***

| no. | total magnetization (μB per cell) |
| --- | --- |
| 1 | 0.000 |
| 2 | 0.688 |
| 3 | 0.000 |
| 4 | 0.000 |